The following is a PBE with a Hubbard U calculation of an optimized crystal structure of KNiP2O, from the Alexandria database.

Unit cell a=5.1290 b=5.1290 c=3.9840 alpha=90.00 beta=90.00 gamma=90.00
With the nearest neighbours (Å) after each atom.
Positions (direct):
P 0.5000 0.0000 0.0000  2 K 2.56
P 0.0000 0.5000 0.0000  2 K 2.56
O 0.0000 0.0000 0.5000  2 K 1.99
Ni 0.5000 0.5000 0.5000  8 P 3.25, 4 O 3.63
K 0.0000 0.0000 0.0000  2 O 1.99

Summary:
Total DFT energy (no corrections): -1.740 eV/atom
Density: 2.784 g/cm3
Crystal system: tetragonal
D(E_F): 6.40 states/eV/cell
Symmetry: P4/mmm (123)
Distance to the lowest polymorph of the same formula: 8.58 eV per formula unit